VASP calculation (GGA-PBE) on a relaxed structure of V7Cu6Pt16.

Results
As for the raw total energy: -192.0 eV per formula unit. For the formation energy, the calculation gives -241 meV per atom. The value obtained for the spin magnetization is 0.88 μB/cell.

Geometry as CIF:
```
data_V7Cu6Pt16
_chemical_formula_sum 'V28 Cu24 Pt64'
_cell_length_a 12.137
_cell_length_b 12.137
_cell_length_c 12.137
_cell_angle_alpha 90.00
_cell_angle_beta 90.00
_cell_angle_gamma 90.00
_space_group_name_H-M_alt 'F m -3 m'
_space_group_IT_number 225
_space_group_name_Hall '-F 4 2 3'
loop_
_atom_site_label
_atom_site_type_symbol
_atom_site_fract_x
_atom_site_fract_y
_atom_site_fract_z
V1 V 0.000 0.000 0.000
V2 V 0.000 0.250 0.250
Cu1 Cu 0.000 0.000 0.271
Pt1 Pt 0.123 0.123 0.123
Pt2 Pt 0.145 0.145 0.355
```


VASP calculation (GGA-PBE) on a relaxed structure of DySbPd5.

Results
As for the raw total energy: -39.6 eV per formula unit. The uncorrected formation energy is -0.704 eV per atom. The value obtained for the excess energy over the best structure of this formula in the dataset is 0 meV/atom. The value obtained for the spin magnetization is 0.00 μB/cell.

Geometry as CIF:
```
data_DySbPd5
_chemical_formula_sum 'Dy1 Sb1 Pd5'
_cell_length_a 4.183
_cell_length_b 4.183
_cell_length_c 7.370
_cell_angle_alpha 90.00
_cell_angle_beta 90.00
_cell_angle_gamma 90.00
_space_group_name_H-M_alt 'P 4/m m m'
_space_group_IT_number 123
_space_group_name_Hall '-P 4 2'
loop_
_atom_site_label
_atom_site_type_symbol
_atom_site_fract_x
_atom_site_fract_y
_atom_site_fract_z
Dy1 Dy 0.000 0.000 0.000
Sb1 Sb 0.500 0.500 0.500
Pd1 Pd 0.000 0.500 0.276
Pd2 Pd 0.500 0.500 0.000
```


VASP calculation (GGA-PBE) on a relaxed structure of Sc2TlSb.

Results
As for the raw total energy: -21.2 eV per formula unit. The uncorrected formation energy is -0.504 eV per atom. The value obtained for the excess energy over the best structure of this formula in the dataset is 15 meV/atom. The value obtained for the spin magnetization is 0.00 μB/cell.

Geometry as CIF:
```
data_Sc2TlSb
_chemical_formula_sum 'Sc4 Tl2 Sb2'
_cell_length_a 6.807
_cell_length_b 3.924
_cell_length_c 8.078
_cell_angle_alpha 90.00
_cell_angle_beta 106.20
_cell_angle_gamma 90.00
_space_group_name_H-M_alt 'C 1 2/m 1'
_space_group_IT_number 12
_space_group_name_Hall '-C 2y'
loop_
_atom_site_label
_atom_site_type_symbol
_atom_site_fract_x
_atom_site_fract_y
_atom_site_fract_z
Sc1 Sc 0.242 0.000 0.228
Tl1 Tl 0.000 0.000 0.500
Sb1 Sb 0.000 0.500 0.000
```


VASP calculation (GGA-PBE) on a relaxed structure of Nd5Ho2Tm3.

Results
As for the raw total energy: -42.6 eV per formula unit. For the formation energy, the calculation gives 380 meV per atom. The value obtained for the excess energy over the best structure of this formula in the dataset is 199 meV/atom. The value obtained for the spin magnetization is 0.00 μB/cell.

Geometry as CIF:
```
data_Nd5Ho2Tm3
_chemical_formula_sum 'Nd20 Ho8 Tm12'
_cell_length_a 9.411
_cell_length_b 13.619
_cell_length_c 10.944
_cell_angle_alpha 90.00
_cell_angle_beta 90.00
_cell_angle_gamma 90.00
_space_group_name_H-M_alt 'I b a m'
_space_group_IT_number 72
_space_group_name_Hall '-I 2 2c'
loop_
_atom_site_label
_atom_site_type_symbol
_atom_site_fract_x
_atom_site_fract_y
_atom_site_fract_z
Nd1 Nd 0.000 0.000 0.250
Nd2 Nd 0.000 0.254 0.250
Nd3 Nd 0.104 0.129 0.000
Ho1 Ho 0.087 0.382 0.500
Tm1 Tm 0.000 0.500 0.250
Tm2 Tm 0.249 0.124 0.500
```


- What is the formula in the second record?
  DySbPd5


- Which of these has the lowest raw total energy?
  V7Cu6Pt16


- Which value of raw total energy does entry 2 give?
  -39.6 eV per formula unit